(1)
{"formula": "CaFe3Ge", "functional": "PBEsol", "state": "relaxed", "lattice": [[-1.466, 1.951, 3.746], [-3.834, -2.278, -0.313], [1.772, -3.315, 2.420]], "species": ["Ca", "Fe", "Ge", "Fe", "Fe"], "frac_coords": [[0.500, 0.500, 0.500], [0.500, 0.000, 0.000], [0.000, 0.000, 0.000], [0.000, 0.500, 0.000], [0.000, 0.000, 0.500]], "e_form_ev_per_atom": 0.62, "dos_ef_per_ev_cell": 8.9, "m_tot_mub_per_fu": 6.841}

(2)
{"formula": "LiSc2Pt", "functional": "PBEsol", "state": "relaxed", "lattice": [[3.415, 0.000, 0.000], [0.000, 4.533, 0.000], [0.000, 0.000, 4.533]], "species": ["Sc", "Li", "Pt", "Sc"], "frac_coords": [[0.000, 0.000, 0.500], [0.500, 0.500, 0.500], [0.500, 0.000, 0.000], [0.000, 0.500, 0.000]], "e_above_lowest_polymorph_ev_per_atom": 0.082, "e_form_ev_per_atom": -0.64, "dos_ef_per_ev_cell": 3.1, "m_tot_mub_per_fu": 0.000}

(3)
{"formula": "Tl3TcW", "functional": "PBEsol", "state": "relaxed", "lattice": [[5.254, 0.000, 0.000], [0.000, 5.254, 0.000], [0.000, 0.000, 5.254]], "species": ["Tl", "Tc", "W", "Tl", "Tl"], "frac_coords": [[0.500, 0.000, 0.000], [0.500, 0.500, 0.500], [0.000, 0.000, 0.000], [0.000, 0.000, 0.500], [0.000, 0.500, 0.000]], "e_form_ev_per_atom": 1.83, "dos_ef_per_ev_cell": 5.3, "m_tot_mub_per_fu": 5.204}

(4)
{"formula": "Tl2CdH2", "functional": "PBEsol", "state": "relaxed", "lattice": [[5.022, -0.027, 0.039], [-2.432, 4.393, -0.039], [2.432, 1.509, 4.126]], "species": ["Cd", "Tl", "H", "H", "Tl"], "frac_coords": [[0.000, 0.000, 0.000], [0.500, 0.750, 0.750], [0.000, 0.444, 0.556], [0.000, 0.556, 0.444], [0.500, 0.250, 0.250]], "dos_ef_per_ev_cell": 1.5, "m_tot_mub_per_fu": 0.000, "energy_ev_per_atom": -2.474}

(5)
{"formula": "Ba2LiCu", "functional": "PBEsol", "state": "relaxed", "lattice": [[4.669, 0.000, 0.000], [0.000, 4.682, 0.000], [-2.335, 0.000, 6.318]], "species": ["Ba", "Ba", "Li", "Cu"], "frac_coords": [[0.388, 0.500, 0.775], [0.106, 0.000, 0.211], [0.697, 0.500, 0.393], [0.802, 0.000, 0.603]], "e_form_ev_per_atom": 0.08, "dos_ef_per_ev_cell": 3.4, "m_tot_mub_per_fu": 0.000}

(6)
{"formula": "KAgBr2", "functional": "PBEsol", "state": "relaxed", "lattice": [[4.260, 0.000, 0.000], [0.000, 4.260, 0.000], [0.000, 0.000, 6.352]], "species": ["Br", "Ag", "K", "Br"], "frac_coords": [[0.500, 0.500, 0.415], [0.500, 0.500, 0.836], [0.000, 0.000, 0.370], [0.000, 0.000, 0.878]], "m_tot_mub_per_fu": 0.000, "energy_ev_per_atom": -2.940}

(7)
{"formula": "Sc2PtPb", "functional": "PBEsol", "state": "relaxed", "lattice": [[3.313, 0.000, 0.000], [0.000, 3.313, 0.000], [0.000, 0.000, 7.466]], "species": ["Pt", "Sc", "Pb", "Sc"], "frac_coords": [[0.500, 0.500, 0.500], [0.000, 0.000, 0.289], [0.500, 0.500, 0.000], [0.000, 0.000, 0.711]], "e_form_ev_per_atom": -0.79, "dos_ef_per_ev_cell": 2.7, "m_tot_mub_per_fu": 0.000}

(8)
{"formula": "CoCu2SnS4", "functional": "PBEsol", "state": "relaxed", "lattice": [[5.338, 0.000, 0.000], [0.000, 5.338, 0.000], [-2.669, -2.669, 5.213]], "species": ["Cu", "Cu", "Sn", "S", "S", "S", "S", "Co"], "frac_coords": [[0.250, 0.750, 0.500], [0.750, 0.250, 0.500], [0.500, 0.500, 0.000], [0.642, 0.094, 0.736], [0.094, 0.642, 0.736], [0.906, 0.906, 0.264], [0.358, 0.358, 0.264], [0.000, 0.000, 0.000]], "dos_ef_per_ev_cell": 4.0, "m_tot_mub_per_fu": 2.533, "energy_ev_per_atom": -5.094}